(1)
Cs2In7Ge | PBE | optimized geometry

```
data_Cs2In7Ge
_chemical_formula_sum 'Cs2 In7 Ge1'
_cell_length_a 5.082
_cell_length_b 5.082
_cell_length_c 12.664
_cell_angle_alpha 90.00
_cell_angle_beta 90.00
_cell_angle_gamma 90.00
_symmetry_space_group_name_H-M 'P -4 m 2'
_symmetry_Int_Tables_number 115
loop_
_symmetry_equiv_pos_as_xyz
'x,y,z'
'y,-x,-z'
'-x,-y,z'
'-y,x,-z'
'-x,y,z'
'-y,-x,-z'
'x,-y,z'
'y,x,-z'
loop_
_atom_site_label
_atom_site_fract_x
_atom_site_fract_y
_atom_site_fract_z
_atom_site_occupancy
Cs1 0.000 0.500 0.244 1
In1 0.000 0.000 0.000 1
In2 0.000 0.000 0.500 1
In3 0.000 0.500 0.636 1
In4 0.000 0.500 0.874 1
In5 0.500 0.500 0.500 1
Ge1 0.500 0.500 0.000 1
```

* DOS at the Fermi energy: 4.25 states/eV per cell
* crystal system: tetragonal
* total moment: 0.00 μB/cell



(2)
NbAs3N | PBE | optimized geometry

```
data_NbAs3N
_chemical_formula_sum 'Nb1 As3 N1'
_cell_length_a 4.286
_cell_length_b 4.286
_cell_length_c 4.286
_cell_angle_alpha 90.00
_cell_angle_beta 90.00
_cell_angle_gamma 90.00
_symmetry_space_group_name_H-M 'P m -3 m'
_symmetry_Int_Tables_number 221
_symmetry_space_group_name_Hall '-P 4 2 3'
loop_
_atom_site_label
_atom_site_fract_x
_atom_site_fract_y
_atom_site_fract_z
_atom_site_occupancy
Nb1 0.000 0.000 0.000 1
As1 0.000 0.500 0.500 1
N1 0.500 0.500 0.500 1
```

* DOS at the Fermi energy: 4.70 states/eV per cell
* crystal system: cubic
* polymorph energy (0 for the lowest one): 0.000 eV per formula unit
* formation energy (no corrections): 0.605 eV per atom
* total moment: 0.31 μB/cell



(3)
ScMo2Se | PBE | optimized geometry

```
data_ScMo2Se
_chemical_formula_sum 'Sc2 Mo4 Se2'
_cell_length_a 3.511
_cell_length_b 4.790
_cell_length_c 8.380
_cell_angle_alpha 90.00
_cell_angle_beta 90.00
_cell_angle_gamma 90.00
_symmetry_space_group_name_H-M 'C m m m'
_symmetry_Int_Tables_number 65
_symmetry_space_group_name_Hall '-C 2 2'
loop_
_atom_site_label
_atom_site_fract_x
_atom_site_fract_y
_atom_site_fract_z
_atom_site_occupancy
Sc1 0.000 0.000 0.000 1
Mo1 0.000 0.500 0.275 1
Se1 0.000 0.000 0.500 1
```

* DOS at the Fermi energy: 6.65 states/eV per cell
* crystal system: orthorhombic
* polymorph energy (0 for the lowest one): 1.574 eV per formula unit
* formation energy (no corrections): 0.313 eV per atom
* total moment: 0.00 μB/cell



(4)
Nd3NiIr8 | PBE | optimized geometry

```
data_Nd3NiIr8
_chemical_formula_sum 'Nd9 Ni3 Ir24'
_cell_length_a 5.3875
_cell_length_b 5.3875
_cell_length_c 26.3919
_cell_angle_alpha 90.00
_cell_angle_beta 90.00
_cell_angle_gamma 120.00
_symmetry_space_group_name_H-M 'R 3 m'
_symmetry_Int_Tables_number 160
_symmetry_space_group_name_Hall 'R 3 -2"'
loop_
_atom_site_label
_atom_site_fract_x
_atom_site_fract_y
_atom_site_fract_z
_atom_site_occupancy
Nd1 0.0000 0.0000 0.0000 1
Nd2 0.0000 0.0000 0.1298 1
Nd3 0.0000 0.0000 0.5161 1
Ni1 0.0000 0.0000 0.6544 1
Ir1 0.0000 0.0000 0.3158 1
Ir2 0.0000 0.0000 0.8174 1
Ir3 0.0013 0.5006 0.0662 1
Ir4 0.0013 0.5007 0.5685 1
```

* DOS at the Fermi energy: 45.34 states/eV per cell
* crystal system: trigonal
* total moment: 2.21 μB/cell



(5)
KInBi2Au | PBE | optimized geometry

```
data_KInBi2Au
_chemical_formula_sum 'K1 In1 Bi2 Au1'
_cell_length_a 5.905
_cell_length_b 5.905
_cell_length_c 5.293
_cell_angle_alpha 90.00
_cell_angle_beta 90.00
_cell_angle_gamma 90.00
_symmetry_space_group_name_H-M 'P 4/m m m'
_symmetry_Int_Tables_number 123
_symmetry_space_group_name_Hall '-P 4 2'
loop_
_atom_site_label
_atom_site_fract_x
_atom_site_fract_y
_atom_site_fract_z
_atom_site_occupancy
K1 0.000 0.000 0.000 1
In1 0.500 0.500 0.500 1
Bi1 0.000 0.500 0.500 1
Au1 0.500 0.500 0.000 1
```

* DOS at the Fermi energy: 6.12 states/eV per cell
* crystal system: tetragonal
* total moment: 0.00 μB/cell



(6)
Li2Ca5Ir | PBE | optimized geometry

```
data_Li2Ca5Ir
_chemical_formula_sum 'Li4 Ca10 Ir2'
_cell_length_a 7.053
_cell_length_b 13.230
_cell_length_c 5.109
_cell_angle_alpha 90.00
_cell_angle_beta 90.00
_cell_angle_gamma 90.00
_symmetry_space_group_name_H-M 'P b a m'
_symmetry_Int_Tables_number 55
loop_
_symmetry_equiv_pos_as_xyz
'x,y,z'
'-x,-y,-z'
'-x,-y,z'
'x,y,-z'
'x+1/2,-y+1/2,-z'
'-x+1/2,y+1/2,z'
'-x+1/2,y+1/2,-z'
'x+1/2,-y+1/2,z'
loop_
_atom_site_label
_atom_site_fract_x
_atom_site_fract_y
_atom_site_fract_z
_atom_site_occupancy
Li1 0.135 0.151 0.000 1
Ca1 0.000 0.000 0.500 1
Ca2 0.109 0.704 0.500 1
Ca3 0.170 0.416 0.000 1
Ir1 0.000 0.500 0.500 1
```

* DOS at the Fermi energy: 11.34 states/eV per cell
* crystal system: orthorhombic
* total moment: 0.00 μB/cell



(7)
LiOsBr2 | PBE | optimized geometry

```
data_LiOsBr2
_chemical_formula_sum 'Li3 Os3 Br6'
_cell_length_a 3.4743
_cell_length_b 3.4743
_cell_length_c 22.7550
_cell_angle_alpha 90.00
_cell_angle_beta 90.00
_cell_angle_gamma 120.00
_symmetry_space_group_name_H-M 'R -3 m'
_symmetry_Int_Tables_number 166
_symmetry_space_group_name_Hall '-R 3 2"'
loop_
_atom_site_label
_atom_site_fract_x
_atom_site_fract_y
_atom_site_fract_z
_atom_site_occupancy
Li1 0.0000 0.0000 0.0000 1
Os1 0.0000 0.0000 0.5000 1
Br1 0.0000 0.0000 0.2570 1
```

* DOS at the Fermi energy: 7.04 states/eV per cell
* crystal system: trigonal
* polymorph energy (0 for the lowest one): 1.512 eV per formula unit
* formation energy (no corrections): 0.463 eV per atom
* total moment: 9.06 μB/cell



(8)
Li2AgHg | PBE | optimized geometry

```
data_Li2AgHg
_chemical_formula_sum 'Li6 Ag3 Hg3'
_cell_length_a 3.1035
_cell_length_b 3.1035
_cell_length_c 26.7005
_cell_angle_alpha 90.00
_cell_angle_beta 90.00
_cell_angle_gamma 120.00
_symmetry_space_group_name_H-M 'R -3 m'
_symmetry_Int_Tables_number 166
_symmetry_space_group_name_Hall '-R 3 2"'
loop_
_atom_site_label
_atom_site_fract_x
_atom_site_fract_y
_atom_site_fract_z
_atom_site_occupancy
Li1 0.0000 0.0000 0.2454 1
Ag1 0.0000 0.0000 0.5000 1
Hg1 0.0000 0.0000 0.0000 1
```

* DOS at the Fermi energy: 2.66 states/eV per cell
* crystal system: trigonal
* total moment: 0.00 μB/cell



no.,final energy (eV per atom)
1,-2.64
2,-5.86
3,-7.56
4,-7.99
5,-2.78
6,-2.92
7,-3.66
8,-1.93